# V2InCo PBE relaxed
data_V2InCo
_cell_length_a 6.962
_cell_length_b 6.962
_cell_length_c 5.182
_cell_angle_alpha 90.00
_cell_angle_beta 90.00
_cell_angle_gamma 90.00
_space_group_name_H-M_alt 'I -4 2 d'
_space_group_IT_number 122
_space_group_name_Hall 'I -4 2bw'
loop_
_atom_site_label
_atom_site_fract_x
_atom_site_fract_y
_atom_site_fract_z
_atom_site_occupancy
V1 0.190 0.250 0.125 1
In1 0.000 0.000 0.500 1
Co1 0.000 0.000 0.000 1
# * N(E_F): 15.4 states/eV per cell
# * energy of formation: 0.40 eV/atom
# * crystal system: tetragonal
# * total magnetization: 0.000 Bohr magnetons per cell